[1]
First-principles (PBE) data for a geometry-optimized TaCd2AgPb structure, as listed in the Alexandria database.

As for the formation energy: 1.439 eV/atom.

The space group is P4/mmm (No. 123) and the conventional cell measures 5.4923, 5.4923 and 5.4591 Å, with angles of 90.00, 90.00 and 90.00 degrees. The asymmetric unit holds Ta at (0.0000, 0.0000, 0.0000), Cd at (0.0000, 0.5000, 0.5000), Ag at (0.5000, 0.5000, 0.0000) and Pb at (0.0000, 0.0000, 0.5000).

=====

[2]
First-principles (PBE) data for a geometry-optimized MgTl3Bi2Se6 structure, as listed in the Alexandria database.

For the uncorrected formation energy, the calculation gives -12.20 kcal/mol of atoms.

The space group is C2/m (No. 12) and the conventional cell measures 7.3235, 12.7087 and 7.7640 Å, with angles of 90.00, 108.37 and 90.00 degrees. The asymmetric unit holds Mg at (0.0000, 0.0000, 0.0000), Tl at (0.0000, 0.1698, 0.5000), Tl at (0.0000, 0.5000, 0.5000), Bi at (0.0000, 0.3347, 0.0000), Se at (0.2296, 0.1585, 0.2143) and Se at (0.2446, 0.0000, 0.7847).

=====

[3]
First-principles (PBE) data for a geometry-optimized MgIrI2N structure, as listed in the Alexandria database.

As for the energy above the most stable polymorph in this dataset: 0.0000 eV/atom. For the uncorrected formation energy, the calculation gives 4.65 kcal/mol of atoms.

The space group is P4/mmm (No. 123) and the conventional cell measures 5.7084, 5.7084 and 3.7284 Å, with angles of 90.00, 90.00 and 90.00 degrees. The asymmetric unit holds Mg at (0.0000, 0.0000, 0.0000), Ir at (0.5000, 0.5000, 0.5000), I at (0.0000, 0.5000, 0.5000) and N at (0.5000, 0.5000, 0.0000).

=====

[4]
First-principles (PBE) data for a geometry-optimized UInGaO6 structure, as listed in the Alexandria database.

For the uncorrected formation energy, the calculation gives -51.20 kcal/mol of atoms.

The space group is P-31c (No. 163) and the conventional cell measures 5.3259, 5.3259 and 9.3952 Å, with angles of 90.00, 90.00 and 120.00 degrees. The asymmetric unit holds U at (0.3333, 0.6667, 0.2500), In at (0.0000, 0.0000, 0.0000), Ga at (0.3333, 0.6667, 0.7500) and O at (0.0106, 0.3497, 0.6337).

=====

[5]
First-principles (PBE) data for a geometry-optimized CdCu2SbSe4 structure, as listed in the Alexandria database.

For the uncorrected formation energy, the calculation gives -5.84 kcal/mol of atoms.

The space group is I-42m (No. 121) and the conventional cell measures 5.9597, 5.9597 and 11.7467 Å, with angles of 90.00, 90.00 and 90.00 degrees. The asymmetric unit holds Cd at (0.0000, 0.0000, 0.0000), Cu at (0.0000, 0.5000, 0.2500), Sb at (0.0000, 0.0000, 0.5000) and Se at (0.2483, 0.2483, 0.8550).

=====

[6]
First-principles (PBE) data for a geometry-optimized LiHoSnCl6 structure, as listed in the Alexandria database.

For the uncorrected formation energy, the calculation gives -40.15 kcal/mol of atoms.

The space group is P-31c (No. 163) and the conventional cell measures 6.7126, 6.7126 and 12.4797 Å, with angles of 90.00, 90.00 and 120.00 degrees. The asymmetric unit holds Li at (0.3333, 0.6667, 0.2500), Ho at (0.3333, 0.6667, 0.7500), Sn at (0.0000, 0.0000, 0.0000) and Cl at (0.0035, 0.3547, 0.1322).

=====

Computed uncorrected energy, in the same sequence as the records: -0.192 -0.268 -0.307 -0.545 -0.268 -0.304 Ry/atom.